{
  "formula": "Cs3HoPu2O9",
  "functional": "GGA-PBE",
  "state": "optimized geometry",
  "lattice": [[-0.195, -6.111, -1.007], [4.710, 2.467, 3.183], [-3.877, -0.942, 6.467]],
  "species": ["O", "O", "O", "O", "O", "O", "O", "O", "O", "Cs", "Cs", "Cs", "Pu", "Pu", "Ho"],
  "fractional_positions": [[0.823, 0.177, 0.680], [0.177, 0.354, 0.320], [0.823, 0.646, 0.680], [0.177, 0.823, 0.320], [0.354, 0.177, 0.680], [0.646, 0.823, 0.320], [0.500, 0.500, 0.000], [0.000, 0.500, 0.000], [0.500, 0.000, 0.000], [0.000, 0.000, 0.000], [0.333, 0.667, 0.663], [0.667, 0.333, 0.337], [0.667, 0.333, 0.835], [0.333, 0.667, 0.165], [0.000, 0.000, 0.500]],
  "dos_ef_per_ev_atom": 0.60,
  "final_energy_ev_per_atom": -7.812,
  "e_form_raw_ev_per_atom": -2.4502,
  "density_g_cm3": 7.86
}